# 1
Crystalline ZnP2Se at its relaxed geometry. Source: Alexandria, functional PBE-GGA.

Cell: 3.197 4.552 4.527 Å, 90.00 90.00 90.00°
Atoms (fractional coordinates):
1 P 0.000 0.000 0.000
2 Se 0.500 0.000 0.500
3 Zn 0.000 0.500 0.500
4 P 0.500 0.500 0.000

Results
Crystal system: orthorhombic
Magnetization: 0.0000 μB/atom
Formation energy from raw total energies: 0.55 eV/atom
SG: Pmmm, No. 47
Density: 5.20 g cm⁻³



# 2
Crystalline Zn3PSe at its relaxed geometry. Source: Alexandria, functional PBE-GGA.

Cell: 4.819 4.819 4.819 Å, 90.00 90.00 90.00°
Atoms (fractional coordinates):
1 Se 0.000 0.000 0.000
2 Zn 0.000 0.000 0.500
3 Zn 0.500 0.000 0.000
4 P 0.500 0.500 0.500
5 Zn 0.000 0.500 0.000

Results
Crystal system: cubic
Magnetization: 0.0000 μB/atom
Formation energy from raw total energies: 0.62 eV/atom
SG: Pm-3m, No. 221
Density: 4.54 g cm⁻³



# 3
Crystalline ZnP2Se at its relaxed geometry. Source: Alexandria, functional PBE-GGA.

Cell: 3.172 3.172 9.044 Å, 90.00 90.00 90.00°
Atoms (fractional coordinates):
1 P 0.500 0.500 0.018
2 Se 0.000 0.000 0.610
3 Zn 0.500 0.500 0.758
4 P 0.000 0.000 0.114

Results
Crystal system: tetragonal
Magnetization: 0.0000 μB/atom
Formation energy from raw total energies: 0.09 eV/atom
SG: P4mm, No. 99
Density: 3.76 g cm⁻³



# 4
Crystalline ZnPSe2 at its relaxed geometry. Source: Alexandria, functional PBE-GGA.

Cell: 3.825 3.825 5.447 Å, 90.00 90.00 90.00°
Atoms (fractional coordinates):
1 Zn 0.000 0.000 0.353
2 Se 0.500 0.500 0.420
3 Se 0.000 0.000 0.879
4 P 0.500 0.500 0.847

Results
Crystal system: tetragonal
Magnetization: 0.0000 μB/atom
Formation energy from raw total energies: -0.07 eV/atom
SG: P4mm, No. 99
Density: 5.30 g cm⁻³



# 5
Crystalline ZnPSe2 at its relaxed geometry. Source: Alexandria, functional PBE-GGA.

Cell: 6.101 6.101 3.785 Å, 55.45 55.45 71.45°
Atoms (fractional coordinates):
1 Se 0.000 0.500 0.000
2 Zn 0.000 0.000 0.500
3 P 0.500 0.500 0.500
4 Se 0.500 0.000 0.000

Results
Crystal system: monoclinic
Magnetization: 0.0000 μB/atom
Formation energy from raw total energies: 0.17 eV/atom
SG: C2/m, No. 12
Density: 4.42 g cm⁻³



# 6
Crystalline ZnPSe2 at its relaxed geometry. Source: Alexandria, functional PBE-GGA.

Cell: 6.480 6.480 6.480 Å, 146.12 144.83 49.64°
Atoms (fractional coordinates):
1 Se 0.653 0.653 0.000
2 Se 0.347 0.347 0.000
3 Zn 0.500 0.000 0.500
4 P 0.000 0.500 0.500

Results
Crystal system: orthorhombic
Magnetization: 0.0000 μB/atom
Formation energy from raw total energies: 0.13 eV/atom
SG: Immm, No. 71
Density: 4.86 g cm⁻³



# 7
Crystalline ZnPSe3 at its relaxed geometry. Source: Alexandria, functional PBE-GGA.

Cell: 4.848 4.848 4.848 Å, 90.00 90.00 90.00°
Atoms (fractional coordinates):
1 Se 0.500 0.000 0.000
2 Se 0.000 0.000 0.500
3 Se 0.000 0.500 0.000
4 P 0.500 0.500 0.500
5 Zn 0.000 0.000 0.000

Results
Crystal system: cubic
Magnetization: 0.0000 μB/atom
Formation energy from raw total energies: 0.80 eV/atom
SG: Pm-3m, No. 221
Density: 4.86 g cm⁻³



# 8
Crystalline ZnPSe at its relaxed geometry. Source: Alexandria, functional PBE-GGA.

Cell: 3.698 3.698 4.617 Å, 90.00 90.00 120.00°
Atoms (fractional coordinates):
1 Se 0.667 0.333 0.320
2 P 0.000 0.000 0.701
3 Zn 0.333 0.667 0.979

Results
Crystal system: trigonal
Magnetization: 0.0000 μB/atom
Formation energy from raw total energies: 0.16 eV/atom
SG: P3m1, No. 156
Density: 5.32 g cm⁻³



# 9
Crystalline ZnPSe2 at its relaxed geometry. Source: Alexandria, functional PBE-GGA.

Cell: 3.296 3.296 6.674 Å, 90.00 90.00 90.00°
Atoms (fractional coordinates):
1 Zn 0.500 0.500 0.000
2 Se 0.000 0.000 0.256
3 P 0.500 0.500 0.500
4 Se 0.000 0.000 0.744

Results
Crystal system: tetragonal
Magnetization: 0.0000 μB/atom
Formation energy from raw total energies: 0.43 eV/atom
SG: P4/mmm, No. 123
Density: 5.82 g cm⁻³



# 10
Crystalline ZnP2Se6 at its relaxed geometry. Source: Alexandria, functional PBE-GGA.

Cell: 6.103 9.414 9.414 Å, 90.42 71.57 71.57°
Atoms (fractional coordinates):
1 Zn 0.750 0.791 0.209
2 P 0.699 0.802 0.633
3 P 0.301 0.198 0.367
4 Se 0.899 0.849 0.410
5 Se 0.101 0.151 0.590
6 Se 0.080 0.416 0.291
7 Se 0.093 0.817 0.980
8 P 0.801 0.367 0.198
9 Se 0.399 0.410 0.849
10 Se 0.580 0.291 0.416
11 Se 0.920 0.584 0.709
12 Se 0.593 0.980 0.817
13 Se 0.601 0.590 0.151
14 Zn 0.250 0.209 0.791
15 Se 0.420 0.709 0.584
16 Se 0.407 0.020 0.183
17 Se 0.907 0.183 0.020
18 P 0.199 0.633 0.802

Results
Crystal system: monoclinic
Magnetization: 0.0000 μB/atom
Formation energy from raw total energies: -0.12 eV/atom
SG: C2/c, No. 15
Density: 4.13 g cm⁻³



# 11
Crystalline ZnPSe2 at its relaxed geometry. Source: Alexandria, functional PBE-GGA.

Cell: 5.922 5.922 3.841 Å, 71.06 71.06 37.85°
Atoms (fractional coordinates):
1 Zn 0.495 0.495 0.505
2 P 0.246 0.246 0.754
3 Se 0.743 0.743 0.257
4 Se 0.016 0.016 0.984

Results
Crystal system: tetragonal
Magnetization: 0.0000 μB/atom
Formation energy from raw total energies: -0.01 eV/atom
SG: I4mm, No. 107
Density: 5.44 g cm⁻³



# 12
Crystalline ZnPSe2 at its relaxed geometry. Source: Alexandria, functional PBE-GGA.

Cell: 3.301 3.301 9.087 Å, 90.00 90.00 118.80°
Atoms (fractional coordinates):
1 Se 0.000 0.000 0.076
2 P 0.500 0.500 0.270
3 Se 0.500 0.500 0.676
4 Zn 0.000 0.000 0.478

Results
Crystal system: orthorhombic
Magnetization: 0.0000 μB/atom
Formation energy from raw total energies: 0.31 eV/atom
SG: Cmm2, No. 35
Density: 4.87 g cm⁻³



# 13
Crystalline ZnP2Se at its relaxed geometry. Source: Alexandria, functional PBE-GGA.

Cell: 5.902 3.403 3.849 Å, 88.90 90.00 90.00°
Atoms (fractional coordinates):
1 P 0.000 0.738 0.180
2 Zn 0.500 0.500 0.000
3 Se 0.500 0.000 0.500
4 P 0.000 0.262 0.820

Results
Crystal system: monoclinic
Magnetization: 0.0000 μB/atom
Formation energy from raw total energies: 0.12 eV/atom
SG: P2/m, No. 10
Density: 4.43 g cm⁻³



# 14
Crystalline ZnPSe at its relaxed geometry. Source: Alexandria, functional PBE-GGA.

Cell: 7.723 7.723 7.723 Å, 159.10 159.10 29.73°
Atoms (fractional coordinates):
1 Se 0.307 0.307 0.000
2 P 0.038 0.038 0.000
3 Zn 0.654 0.654 0.000

Results
Crystal system: tetragonal
Magnetization: 0.0000 μB/atom
Formation energy from raw total energies: 0.40 eV/atom
SG: I4mm, No. 107
Density: 4.97 g cm⁻³



# 15
Crystalline ZnP2Se at its relaxed geometry. Source: Alexandria, functional PBE-GGA.

Cell: 2.656 5.669 5.243 Å, 90.00 90.00 90.00°
Atoms (fractional coordinates):
1 Se 0.500 0.500 0.250
2 P 0.000 0.000 0.554
3 P 0.000 0.000 0.946
4 Zn 0.500 0.500 0.750

Results
Crystal system: orthorhombic
Magnetization: 0.0000 μB/atom
Formation energy from raw total energies: 0.40 eV/atom
SG: Pmmm, No. 47
Density: 4.34 g cm⁻³



# 16
Crystalline ZnPSe2 at its relaxed geometry. Source: Alexandria, functional PBE-GGA.

Cell: 8.050 8.050 8.050 Å, 155.75 155.01 35.11°
Atoms (fractional coordinates):
1 Zn 0.455 0.455 0.000
2 Se 0.007 0.007 0.000
3 P 0.297 0.797 0.500
4 Se 0.741 0.241 0.500

Results
Crystal system: orthorhombic
Magnetization: 0.0000 μB/atom
Formation energy from raw total energies: 0.13 eV/atom
SG: Imm2, No. 44
Density: 4.67 g cm⁻³



# 17
Crystalline ZnPSe at its relaxed geometry. Source: Alexandria, functional PBE-GGA.

Cell: 5.950 5.950 5.950 Å, 145.55 145.55 49.52°
Atoms (fractional coordinates):
1 Se 0.690 0.690 0.000
2 Zn 0.417 0.417 0.000
3 P 0.893 0.893 0.000

Results
Crystal system: tetragonal
Magnetization: 0.0000 μB/atom
Formation energy from raw total energies: 0.08 eV/atom
SG: I4mm, No. 107
Density: 4.34 g cm⁻³



# 18
Crystalline ZnP2Se at its relaxed geometry. Source: Alexandria, functional PBE-GGA.

Cell: 4.497 4.497 4.497 Å, 117.71 117.71 94.01°
Atoms (fractional coordinates):
1 Zn 0.750 0.250 0.500
2 P 0.000 0.000 0.000
3 P 0.250 0.750 0.500
4 Se 0.500 0.500 0.000

Results
Crystal system: tetragonal
Magnetization: 0.0000 μB/atom
Formation energy from raw total energies: 0.57 eV/atom
SG: I-4m2, No. 119
Density: 5.16 g cm⁻³



# 19
Crystalline ZnPSe at its relaxed geometry. Source: Alexandria, functional PBE-GGA.

Cell: 5.578 5.578 5.578 Å, 146.38 146.38 48.28°
Atoms (fractional coordinates):
1 P 0.000 0.000 0.000
2 Zn 0.646 0.646 0.000
3 Se 0.354 0.354 0.000

Results
Crystal system: tetragonal
Magnetization: 0.0000 μB/atom
Formation energy from raw total energies: 0.43 eV/atom
SG: I4mm, No. 107
Density: 5.50 g cm⁻³



# 20
Crystalline Zn3PSe at its relaxed geometry. Source: Alexandria, functional PBE-GGA.

Cell: 4.670 4.670 4.670 Å, 90.00 90.00 90.00°
Atoms (fractional coordinates):
1 Zn 0.500 0.000 0.000
2 P 0.000 0.000 0.000
3 Zn 0.000 0.000 0.500
4 Se 0.500 0.500 0.500
5 Zn 0.000 0.500 0.000

Results
Crystal system: cubic
Magnetization: 0.0000 μB/atom
Formation energy from raw total energies: 0.07 eV/atom
SG: Pm-3m, No. 221
Density: 4.99 g cm⁻³



# 21
Crystalline ZnP2Se at its relaxed geometry. Source: Alexandria, functional PBE-GGA.

Cell: 8.838 3.438 3.438 Å, 90.00 90.00 90.00°
Atoms (fractional coordinates):
1 Zn 0.500 0.000 0.500
2 P 0.000 0.500 0.500
3 P 0.000 0.000 0.000
4 Se 0.500 0.500 0.000

Results
Crystal system: tetragonal
Magnetization: 0.0000 μB/atom
Formation energy from raw total energies: 0.28 eV/atom
SG: P4/mmm, No. 123
Density: 3.28 g cm⁻³



# 22
Crystalline ZnP2Se at its relaxed geometry. Source: Alexandria, functional PBE-GGA.

Cell: 10.808 10.808 10.808 Å, 15.16 15.16 15.16°
Atoms (fractional coordinates):
1 P 0.022 0.022 0.022
2 P 0.478 0.478 0.478
3 Zn 0.750 0.750 0.750
4 Se 0.250 0.250 0.250

Results
Crystal system: trigonal
Magnetization: 0.0000 μB/atom
Formation energy from raw total energies: 0.57 eV/atom
SG: R-3m, No. 166
Density: 4.56 g cm⁻³



# 23
Crystalline ZnPSe2 at its relaxed geometry. Source: Alexandria, functional PBE-GGA.

Cell: 4.682 4.682 4.682 Å, 60.00 60.00 60.00°
Atoms (fractional coordinates):
1 Zn 0.500 0.500 0.500
2 P 0.000 0.000 0.000
3 Se 0.750 0.750 0.750
4 Se 0.250 0.250 0.250

Results
Crystal system: cubic
Magnetization: 0.0000 μB/atom
Formation energy from raw total energies: 0.44 eV/atom
SG: Fm-3m, No. 225
Density: 5.82 g cm⁻³



# 24
Crystalline ZnPSe2 at its relaxed geometry. Source: Alexandria, functional PBE-GGA.

Cell: 3.424 4.528 6.478 Å, 70.16 90.00 90.00°
Atoms (fractional coordinates):
1 Zn 0.000 0.522 0.436
2 P 0.500 0.182 0.331
3 Se 0.500 0.750 0.636
4 Se 0.000 0.047 0.096

Results
Crystal system: monoclinic
Magnetization: 0.0000 μB/atom
Formation energy from raw total energies: -0.06 eV/atom
SG: Pm, No. 6
Density: 4.47 g cm⁻³



# 25
Crystalline ZnP2Se at its relaxed geometry. Source: Alexandria, functional PBE-GGA.

Cell: 7.742 5.780 2.604 Å, 64.93 107.23 137.43°
Atoms (fractional coordinates):
1 P 0.500 0.000 0.500
2 Zn 0.500 0.500 0.000
3 Se 0.000 0.500 0.500
4 P 0.000 0.000 0.000

Results
Crystal system: monoclinic
Magnetization: 0.0000 μB/atom
Formation energy from raw total energies: 0.26 eV/atom
SG: C2/m, No. 12
Density: 4.80 g cm⁻³



# 26
Crystalline ZnP2Se at its relaxed geometry. Source: Alexandria, functional PBE-GGA.

Cell: 3.542 4.262 6.188 Å, 108.25 90.00 90.00°
Atoms (fractional coordinates):
1 P 0.500 0.178 0.989
2 Se 0.000 0.613 0.515
3 Zn 0.500 0.577 0.785
4 P 0.000 0.132 0.211

Results
Crystal system: monoclinic
Magnetization: 0.0000 μB/atom
Formation energy from raw total energies: -0.11 eV/atom
SG: Pm, No. 6
Density: 3.86 g cm⁻³



# 27
Crystalline Zn4PSe at its relaxed geometry. Source: Alexandria, functional PBE-GGA.

Cell: 5.235 5.235 5.235 Å, 60.00 60.00 60.00°
Atoms (fractional coordinates):
1 Se 0.000 0.000 0.000
2 Zn 0.874 0.375 0.375
3 P 0.750 0.750 0.750
4 Zn 0.375 0.375 0.874
5 Zn 0.375 0.375 0.375
6 Zn 0.375 0.874 0.375

Results
Crystal system: cubic
Magnetization: 0.0000 μB/atom
Formation energy from raw total energies: 0.32 eV/atom
SG: F-43m, No. 216
Density: 6.08 g cm⁻³



# 28
Crystalline ZnPSe2 at its relaxed geometry. Source: Alexandria, functional PBE-GGA.

Cell: 6.560 6.560 6.560 Å, 33.95 33.95 33.95°
Atoms (fractional coordinates):
1 Se 0.253 0.253 0.253
2 Se 0.747 0.747 0.747
3 Zn 0.500 0.500 0.500
4 P 0.000 0.000 0.000

Results
Crystal system: trigonal
Magnetization: 0.0000 μB/atom
Formation energy from raw total energies: 0.00 eV/atom
SG: R-3m, No. 166
Density: 5.38 g cm⁻³



# 29
Crystalline ZnP2Se at its relaxed geometry. Source: Alexandria, functional PBE-GGA.

Cell: 3.748 3.748 6.609 Å, 90.00 90.00 60.00°
Atoms (fractional coordinates):
1 Se 0.458 0.458 0.468
2 Zn 0.125 0.125 0.302
3 P 0.792 0.792 0.787
4 P 0.125 0.125 0.943

Results
Crystal system: trigonal
Magnetization: 0.0000 μB/atom
Formation energy from raw total energies: -0.12 eV/atom
SG: P3m1, No. 156
Density: 4.26 g cm⁻³



# 30
Crystalline ZnP2Se at its relaxed geometry. Source: Alexandria, functional PBE-GGA.

Cell: 4.563 4.563 3.192 Å, 90.00 90.00 89.98°
Atoms (fractional coordinates):
1 P 0.500 0.500 0.000
2 Zn 0.000 0.500 0.500
3 P 0.000 0.000 0.000
4 Se 0.500 0.000 0.500

Results
Crystal system: tetragonal
Magnetization: 0.0000 μB/atom
Formation energy from raw total energies: 0.58 eV/atom
SG: P4/mmm, No. 123
Density: 5.15 g cm⁻³